## CsHoZnTeSe2 (GGA-PBE)

Data for CsHoZnTeSe2 after structural relaxation.

Structure (extended XYZ):
```
12
Lattice="7.558 3.196 -2.950 -8.002 1.001 3.318 4.321 -0.468 10.562" Properties=species:S:1:pos:R:3 pbc="T T T"
Cs -2.822 1.463 4.307
Cs 6.698 2.267 6.623
Ho -0.222 2.099 0.184
Ho 1.938 1.865 5.465
Se 6.187 2.931 -1.573
Se 7.769 2.759 2.292
Se -3.892 0.970 8.638
Se -2.311 0.799 12.503
Te 1.982 2.140 2.372
Te 1.895 1.590 8.558
Zn 8.184 3.015 -0.127
Zn -4.308 0.715 11.057
```

Calculated values
Energy, eV per atom: -4.111
Calculated volume, Å³/cell: 409.3
Space group: Cmcm, No. 63

## DyHo2Al3AgIr2 (GGA-PBE)

Data for DyHo2Al3AgIr2 after structural relaxation.

Structure (extended XYZ):
```
9
Lattice="4.097 0.000 0.000 0.000 6.130 3.535 0.000 -6.130 3.535" Properties=species:S:1:pos:R:3 pbc="T T T"
Ag 0.000 0.000 0.006
Al 2.049 0.000 1.798
Al 2.049 1.557 6.171
Al 2.049 -1.557 6.171
Dy 0.000 0.000 4.101
Ho 0.000 3.556 5.018
Ho 0.000 -3.556 5.018
Ir 2.049 2.055 3.533
Ir 2.049 -2.055 3.533
```

Calculated values
Energy, eV per atom: -5.782
Calculated volume, Å³/cell: 177.6
Space group: Amm2, No. 38

## BeCdCuB (GGA-PBE)

Data for BeCdCuB after structural relaxation.

Structure (extended XYZ):
```
4
Lattice="0.000 2.865 2.865 2.865 0.000 2.865 2.865 2.865 0.000" Properties=species:S:1:pos:R:3 pbc="T T T"
B 0.000 0.000 0.000
Be 2.865 2.865 2.865
Cd 1.433 1.433 1.433
Cu 4.298 4.298 4.298
```

Calculated values
Energy, eV per atom: -2.940
Calculated volume, Å³/cell: 47.0
Space group: F-43m, No. 216

## LaAlRe (GGA-PBE)

Data for LaAlRe after structural relaxation.

Structure (extended XYZ):
```
3
Lattice="-4.037 1.375 2.170 -1.576 4.490 -0.501 -3.927 0.883 -2.589" Properties=species:S:1:pos:R:3 pbc="T T T"
Al -2.385 1.687 -0.230
La 0.000 0.000 0.000
Re -7.155 5.061 -0.690
```

Calculated values
Energy, eV per atom: -5.644
Calculated volume, Å³/cell: 77.5
Space group: F-43m, No. 216

## Na2MgZnIn2Pd2 (GGA-PBE)

Data for Na2MgZnIn2Pd2 after structural relaxation.

Structure (extended XYZ):
```
8
Lattice="4.732 0.000 0.000 0.000 4.732 0.000 0.000 0.000 6.726" Properties=species:S:1:pos:R:3 pbc="T T T"
In 2.366 2.366 0.000
In 0.000 0.000 3.363
Mg 0.000 0.000 0.000
Na 2.366 0.000 1.768
Na 0.000 2.366 4.959
Pd 0.000 2.366 1.708
Pd 2.366 0.000 5.018
Zn 2.366 2.366 3.363
```

Calculated values
Energy, eV per atom: -2.917
Calculated volume, Å³/cell: 150.6
Space group: P-4m2, No. 115

## LuAu (GGA-PBE)

Data for LuAu after structural relaxation.

Structure (extended XYZ):
```
2
Lattice="3.511 0.000 0.000 0.000 3.511 0.000 0.000 0.000 3.511" Properties=species:S:1:pos:R:3 pbc="T T T"
Au 0.000 0.000 0.000
Lu 1.755 1.755 1.755
```

Calculated values
Calculated volume, Å³/cell: 43.3
Space group: Pm-3m, No. 221
Energy of formation, eV per atom: -0.90